Entry 1:
The following is a DFT calculation (PBE) of an optimized crystal structure of RbLaAl2W.

Values from the calculation:
Theoretical density = 4.2 g/cm³
E = -3.767 eV per atom
Symmetry = P4/mmm

a b c (Å): 5.9242 5.1780 5.9242
angles (deg): 90.00 90.00 90.00
Atoms (fractional coordinates):
Al1 0.0000 0.0000 0.5000
Al2 0.5000 0.0000 0.0000
Rb1 0.5000 0.5000 0.5000
W1 0.0000 0.5000 0.0000
La1 0.0000 0.0000 0.0000


Entry 2:
The following is a DFT calculation (PBE) of an optimized crystal structure of K2CdI.

Values from the calculation:
Theoretical density = 3.3 g/cm³
Energy relative to the lowest polymorph listed for this composition = 0.0 meV/atom
Energy relative to the elements, uncorrected = -64.7 kJ per mole of atoms
E = -1.835 eV per atom
Symmetry = P4/mmm

a b c (Å): 4.3718 4.3718 8.4537
angles (deg): 90.00 90.00 90.00
Atoms (fractional coordinates):
I1 0.5000 0.5000 0.5000
K1 0.0000 0.0000 0.7430
K2 0.0000 0.0000 0.2570
Cd1 0.5000 0.5000 0.0000


Entry 3:
The following is a DFT calculation (PBE) of an optimized crystal structure of Ce6Si2N.

Values from the calculation:
Theoretical density = 7.6 g/cm³
Energy relative to the lowest polymorph listed for this composition = 0.0 meV/atom
Energy relative to the elements, uncorrected = -57.2 kJ per mole of atoms
E = -6.678 eV per atom
Symmetry = I4/mmm

a b c (Å): 6.3433 6.3428 9.8856
angles (deg): 90.00 90.01 90.00
Atoms (fractional coordinates):
Ce1 0.9999 0.9999 0.2643
Ce2 0.7277 0.7281 0.5000
Ce3 0.7721 0.7721 0.0001
Ce4 0.7279 0.2721 0.4999
Ce5 0.7723 0.2281 0.0000
Ce6 0.5001 0.4999 0.2357
Ce7 0.0001 0.0001 0.7357
Ce8 0.2723 0.2719 0.5000
Ce9 0.2279 0.2279 0.9999
Ce10 0.2721 0.7279 0.5001
Ce11 0.2277 0.7719 0.0000
Ce12 0.4999 0.5001 0.7643
Si1 0.9999 0.5001 0.7499
Si2 0.5001 0.0001 0.7501
Si3 0.4999 0.9999 0.2499
Si4 0.0001 0.4999 0.2501
N1 0.5000 0.5000 0.0000
N2 0.0000 0.0000 0.5000